V2CoBiO8 | Alexandria | PBE with a Hubbard U | optimized geometry; total magnetization = 0.000 Bohr magnetons per cell; uncorrected energy = -6.747 eV/atom; symmetry = P-3
1.0
-0.883 -2.464 4.919
-1.838 -2.393 -4.685
5.358 -3.028 -0.555
O Co Bi V
8 1 1 2
direct
0.667 0.333 0.969 O
0.844 0.153 0.308 O
0.847 0.690 0.308 O
0.310 0.156 0.308 O
0.333 0.667 0.031 O
0.690 0.844 0.692 O
0.153 0.310 0.692 O
0.156 0.847 0.692 O
0.000 0.000 0.500 Co
0.000 0.000 0.000 Bi
0.333 0.667 0.762 V
0.667 0.333 0.238 V